[1]
# Na2BiBr2

A geometry-optimized Na2BiBr2 structure (GGA-PBEsol, Alexandria via LeMat-Bulk).

Lattice parameters (Å, degrees): 3.533 8.712 8.712 90.00 90.00 90.00
Site moments in Bohr magnetons follow the coordinates.
Element x y z (fractional)
Br1 0.500 0.653 0.847  0.07
Br2 0.500 0.153 0.653  0.07
Br3 0.500 0.847 0.347  0.07
Br4 0.500 0.347 0.153  0.07
Na1 0.000 0.641 0.141  0.01
Na2 0.000 0.141 0.359  0.01
Na3 0.000 0.359 0.859  0.01
Na4 0.000 0.859 0.641  0.01
Bi1 0.000 0.000 0.000  0.71
Bi2 0.000 0.500 0.500  0.71

Results
**Energy relative to the elements, uncorrected**: -700 meV/atom
**Symmetry**: P4/mbm, No. 127



[2]
# Ba6Tm2Ga4O15

A geometry-optimized Ba6Tm2Ga4O15 structure (GGA-PBEsol, Alexandria via LeMat-Bulk).

Lattice parameters (Å, degrees): 5.932 7.891 18.337 91.38 90.00 90.00
Element x y z (fractional)
Tm1 0.251 0.753 0.590
Tm2 0.749 0.753 0.090
Tm3 0.749 0.247 0.410
Tm4 0.251 0.247 0.910
Ba1 0.327 0.500 0.750
Ba2 0.750 0.975 0.911
Ba3 0.753 0.501 0.578
Ba4 0.250 0.025 0.089
Ba5 0.247 0.501 0.078
Ba6 0.673 0.500 0.250
Ba7 0.721 0.000 0.250
Ba8 0.247 0.499 0.422
Ba9 0.753 0.499 0.922
Ba10 0.279 0.000 0.750
Ba11 0.750 0.025 0.589
Ba12 0.250 0.975 0.411
O1 0.660 0.310 0.683
O2 0.040 0.720 0.688
O3 0.012 0.234 0.492
O4 0.754 0.529 0.410
O5 0.767 0.043 0.108
O6 0.188 0.000 0.250
O7 0.012 0.766 0.008
O8 0.246 0.471 0.590
O9 0.513 0.233 0.501
O10 0.988 0.766 0.508
O11 0.487 0.233 0.001
O12 0.457 0.246 0.337
O13 0.960 0.720 0.188
O14 0.340 0.690 0.317
O15 0.246 0.529 0.910
O16 0.513 0.767 0.999
O17 0.040 0.280 0.812
O18 0.660 0.690 0.817
O19 0.543 0.246 0.837
O20 0.767 0.957 0.392
O21 0.340 0.310 0.183
O22 0.487 0.767 0.499
O23 0.988 0.234 0.992
O24 0.812 0.000 0.750
O25 0.960 0.280 0.312
O26 0.233 0.043 0.608
O27 0.233 0.957 0.892
O28 0.754 0.471 0.090
O29 0.457 0.754 0.163
O30 0.543 0.754 0.663
Ga1 0.228 0.769 0.233
Ga2 0.746 0.245 0.058
Ga3 0.746 0.755 0.442
Ga4 0.772 0.769 0.733
Ga5 0.254 0.755 0.942
Ga6 0.772 0.231 0.767
Ga7 0.254 0.245 0.558
Ga8 0.228 0.231 0.267

Results
**Energy relative to the elements, uncorrected**: -2668 meV/atom
**Symmetry**: P2/c, No. 13



[3]
# Sr3SnP

A geometry-optimized Sr3SnP structure (GGA-PBEsol, Alexandria via LeMat-Bulk).

Lattice parameters (Å, degrees): 5.711 5.711 5.711 90.00 90.00 90.00
Element x y z (fractional)
Sn1 0.500 0.500 0.500
Sr1 0.500 0.000 0.000
Sr2 0.000 0.500 0.000
Sr3 0.000 0.000 0.500
P1 0.000 0.000 0.000

Results
**Symmetry**: Pm-3m, No. 221
**ΔH_f (0 K)**: -0.6723 eV/atom



Total moment list, top to bottom, in μB per atom: 0.268 0.000 0.001